{
  "formula": "Fe10OF19",
  "functional": "PBE+U",
  "state": "relaxed",
  "sg": "No. 38",
  "e_above_lowest_polymorph_ev_per_atom": 0.190,
  "rho_kg_m3": 4229,
  "dos_at_fermi_per_ev_atom": 0.00,
  "total_magnetization_mub_per_fu": 7.0,
  "cell": [[16.054, 0.000, 0.000], [0.000, 3.398, 3.367], [0.000, -3.398, 3.367]],
  "species": ["Fe", "Fe", "Fe", "Fe", "Fe", "Fe", "Fe", "Fe", "Fe", "Fe", "O", "F", "F", "F", "F", "F", "F", "F", "F", "F", "F", "F", "F", "F", "F", "F", "F", "F", "F", "F"],
  "frac_coords": [[0.000, 0.000, 0.000], [0.096, 0.540, 0.540], [0.201, 0.041, 0.041], [0.301, 0.543, 0.543], [0.400, 0.044, 0.044], [0.500, 0.545, 0.545], [0.600, 0.044, 0.044], [0.699, 0.543, 0.543], [0.799, 0.041, 0.041], [0.904, 0.540, 0.540], [0.000, 0.727, 0.727], [0.000, 0.306, 0.306], [0.097, 0.217, 0.839], [0.097, 0.839, 0.217], [0.199, 0.345, 0.345], [0.204, 0.738, 0.738], [0.301, 0.246, 0.843], [0.301, 0.843, 0.246], [0.402, 0.356, 0.356], [0.403, 0.733, 0.733], [0.500, 0.241, 0.849], [0.500, 0.849, 0.241], [0.597, 0.733, 0.733], [0.598, 0.356, 0.356], [0.699, 0.246, 0.843], [0.699, 0.843, 0.246], [0.796, 0.738, 0.738], [0.801, 0.345, 0.345], [0.903, 0.217, 0.839], [0.903, 0.839, 0.217]]
}